# 1
Computed, not measured: an optimized crystal structure of MnH2Ru2 at the PBE level of DFT.

extended XYZ file:
```
10
Lattice="5.681 0.000 0.000 0.000 5.681 0.000 0.000 0.000 2.774" Properties=species:S:1:pos:R:3 pbc="T T T"
Mn 0.000 0.000 0.000
Mn 2.840 2.840 0.000
H 1.084 1.756 0.000
H 1.756 4.597 0.000
H 3.925 1.084 0.000
H 4.597 3.925 0.000
Ru 0.869 3.710 1.387
Ru 1.971 0.869 1.387
Ru 3.710 4.812 1.387
Ru 4.812 1.971 1.387
```

=====

# 2
Computed, not measured: an optimized crystal structure of Mn3HRu at the PBE level of DFT.

extended XYZ file:
```
5
Lattice="3.655 0.000 0.000 0.000 3.655 0.000 0.000 0.000 3.655" Properties=species:S:1:pos:R:3 pbc="T T T"
Mn 0.000 0.000 1.827
Mn 0.000 1.827 0.000
Mn 1.827 0.000 0.000
H 0.000 0.000 0.000
Ru 1.827 1.827 1.827
```

=====

# 3
Computed, not measured: an optimized crystal structure of MnH2Ru2 at the PBE level of DFT.

extended XYZ file:
```
5
Lattice="-2.006 2.006 3.027 2.006 -2.006 3.027 2.006 2.006 -3.027" Properties=species:S:1:pos:R:3 pbc="T T T"
Mn 0.000 0.000 0.000
H 0.000 0.000 1.850
H 0.000 0.000 4.204
Ru 2.006 0.000 1.513
Ru 0.000 2.006 1.513
```

=====

# 4
Computed, not measured: an optimized crystal structure of MnHRu3 at the PBE level of DFT.

extended XYZ file:
```
5
Lattice="4.407 0.000 0.000 0.000 4.407 0.000 0.000 0.000 4.407" Properties=species:S:1:pos:R:3 pbc="T T T"
Mn 0.000 0.000 0.000
H 2.203 2.203 2.203
Ru 0.000 0.000 2.203
Ru 0.000 2.203 0.000
Ru 2.203 0.000 0.000
```

=====

# 5
Computed, not measured: an optimized crystal structure of MnH2Ru2 at the PBE level of DFT.

extended XYZ file:
```
5
Lattice="-1.400 1.400 5.724 1.400 -1.400 5.724 1.400 1.400 -5.724" Properties=species:S:1:pos:R:3 pbc="T T T"
Mn 0.000 0.000 0.000
H 1.400 0.000 2.862
H 0.000 1.400 2.862
Ru 0.000 0.000 4.103
Ru 0.000 0.000 7.346
```

=====

# 6
Computed, not measured: an optimized crystal structure of Mn3H12Ru5 at the PBE level of DFT.

extended XYZ file:
```
80
Lattice="-5.346 5.346 5.346 5.346 -5.346 5.346 5.346 5.346 -5.346" Properties=species:S:1:pos:R:3 pbc="T T T"
Mn 2.673 1.336 0.000
Mn 5.346 2.673 -1.336
Mn 1.336 0.000 2.673
Mn 6.682 0.000 2.673
Mn 0.000 2.673 1.336
Mn 2.673 -1.336 5.346
Mn 2.673 6.682 0.000
Mn 5.346 2.673 4.009
Mn -1.336 5.346 2.673
Mn 4.009 5.346 2.673
Mn 0.000 2.673 6.682
Mn 2.673 4.009 5.346
H 1.607 -0.195 0.753
H 6.411 3.425 -2.867
H 5.151 -0.753 1.607
H 8.213 -1.066 1.920
H 6.953 0.195 0.753
H 6.411 -1.920 2.867
H 0.753 1.607 -0.195
H 7.266 2.478 -1.066
H 3.425 2.867 -1.066
H 4.593 1.607 0.195
H -0.195 0.753 1.607
H 2.867 -1.066 3.425
H 5.151 4.593 -1.607
H 2.867 1.066 1.920
H 4.593 -1.607 5.151
H 3.425 -2.867 6.411
H 1.920 2.867 1.066
H 6.098 3.739 0.195
H 1.607 5.151 -0.753
H 6.411 1.920 2.478
H 2.867 6.411 -1.920
H 5.151 0.753 3.739
H 1.066 1.920 2.867
H 1.607 0.195 4.593
H 3.739 5.151 0.753
H 4.280 3.425 2.478
H 0.195 4.593 1.607
H 2.478 -1.066 7.266
H -1.066 3.425 2.867
H 3.739 0.195 6.098
H -0.753 1.607 5.151
H 3.425 2.478 4.280
H 1.920 8.213 -1.066
H 0.753 6.953 0.195
H 2.478 4.280 3.425
H 0.195 0.753 6.953
H 2.478 6.411 1.920
H 5.540 4.593 3.739
H 0.753 3.739 5.151
H 1.920 2.478 6.411
H -1.920 2.867 6.411
H 4.593 3.739 5.540
H -1.066 7.266 2.478
H -1.607 5.151 4.593
H -2.867 6.411 3.425
H 0.195 6.098 3.739
H -1.066 1.920 8.213
H 3.739 5.540 4.593
Ru 0.000 0.000 0.000
Ru 2.673 2.673 -2.673
Ru 2.673 -2.673 2.673
Ru 5.346 0.000 0.000
Ru 8.018 1.336 0.000
Ru 5.346 -2.673 4.009
Ru 4.009 5.346 -2.673
Ru 4.009 0.000 2.673
Ru 2.673 4.009 0.000
Ru 5.346 2.673 1.336
Ru -2.673 2.673 2.673
Ru 0.000 5.346 0.000
Ru 0.000 0.000 5.346
Ru 2.673 2.673 2.673
Ru 0.000 2.673 4.009
Ru 2.673 1.336 5.346
Ru 1.336 5.346 2.673
Ru 1.336 0.000 8.018
Ru 0.000 8.018 1.336
Ru -2.673 4.009 5.346
```

=====

Number 1: size of the total moment 0.00 μB/f.u., final energy -66.245 eV for the cell shown. Number 2: size of the total moment 2.48 μB/f.u., final energy -39.856 eV for the cell shown. Number 3: size of the total moment 1.96 μB/f.u., final energy -33.282 eV for the cell shown. Number 4: size of the total moment 2.65 μB/f.u., final energy -30.621 eV for the cell shown. Number 5: size of the total moment 0.00 μB/f.u., final energy -33.520 eV for the cell shown. Number 6: size of the total moment 13.48 μB/f.u., final energy -445.274 eV for the cell shown.